(1)
DFT (PBE) results for a relaxed structure of TlAsCl2.

Summary:
Formation energy from raw total energies: -324 meV/atom
Distance to the lowest polymorph of the same formula: 0.0688 eV per atom
Uncorrected energy: -12.00 eV per cell
Space-group type: Pmm2, No. 25

a b c (Å): 5.642 3.563 6.462
angles (deg): 56.55 90.00 90.00
Fractional coordinates of all 4 atoms:
Tl: 0.000 0.730 0.395
As: 0.500 0.737 0.888
Cl: 0.000 0.739 0.886
Cl: 0.500 0.294 0.330

(2)
DFT (PBE) results for a relaxed structure of TlZnAsCl2.

Summary:
Formation energy from raw total energies: 194 meV/atom
Uncorrected energy: -11.01 eV per cell
Space-group type: P4/mmm, No. 123

a b c (Å): 5.405 5.606 5.405
angles (deg): 90.00 90.00 90.00
Site moments in Bohr magnetons follow the coordinates.
Fractional coordinates of all 5 atoms:
Zn: 0.500 0.500 0.500  -0.01
Tl: 0.000 0.000 0.000  0.00
As: 0.000 0.500 0.000  0.67
Cl: 0.000 0.000 0.500  0.03
Cl: 0.500 0.000 0.000  0.02